First-principles (PBE) data for crystalline HoScZnRu at its relaxed geometry, as listed in the Alexandria database. Values from VASP.

```
&SYSTEM
  ibrav = 0, nat = 4, ntyp = 4
/
ATOMIC_SPECIES
Ho 164.93 Ho.upf
Sc 44.96 Sc.upf
Zn 65.41 Zn.upf
Ru 101.07 Ru.upf
ATOMIC_POSITIONS crystal
Ho 0.000 0.000 0.000
Sc 0.000 0.000 0.540
Zn 0.500 0.500 0.297
Ru 0.500 0.500 0.750
CELL_PARAMETERS angstrom
3.345 0.000 0.000
0.000 3.345 0.000
0.000 0.000 6.959
```

Calculated values
Energy of formation (eV/atom): -0.471
Space-group type: P4mm (99)
Energy relative to the lowest polymorph listed for this composition (eV/f.u.): 0.00